Record 1
GGA-PBE Ce2ErUP4, relaxed; calculated volume = 183.9 Å³/cell; ΔH_f (0 K) = -1.39 eV per atom; SG = P2/m (10)
1.0
6.9678 0.0000 0.0000
0.0000 4.0124 0.0000
-2.3060 0.0000 6.5778
Ce Er U P
2 1 1 4
Cartesian
0.0000 0.0000 0.0000
3.4839 2.0062 0.0000
-1.1530 2.0062 3.2889
2.3309 0.0000 3.2889
0.0344 0.0000 4.8709
1.1775 2.0062 1.7186
3.4844 2.0062 4.8591
4.6275 0.0000 1.7069

***

Record 2
GGA-PBE Ba2ZnInN, relaxed; calculated volume = 304.6 Å³/cell; formation energy (no corrections) = -0.349 eV/atom; excess energy over the best structure of this formula in the dataset = 0.0 meV/atom; SG = P2_1/m (11)
1.0
8.1875 0.0000 0.0000
0.0000 4.1547 0.0000
-3.8604 0.0000 8.9543
Ba Zn In N
4 2 2 2
Cartesian
-0.2958 1.0387 4.2607
-1.8423 1.0387 7.8658
6.1695 3.1160 1.0885
4.6230 3.1160 4.6936
0.6030 3.1160 6.7888
3.7242 1.0387 2.1655
1.8546 3.1160 2.0221
2.4726 1.0387 6.9322
-1.2221 3.1160 6.0707
5.5493 1.0387 2.8836

***

Record 3
GGA-PBE CaHg2Te2, relaxed; calculated volume = 307.9 Å³/cell; formation energy (no corrections) = -0.394 eV/atom; excess energy over the best structure of this formula in the dataset = 149.4 meV/atom; SG = P4/mbm (127)
1.0
8.3112 0.0000 0.0000
0.0000 8.3112 0.0000
0.0000 0.0000 4.4575
Ca Hg Te
2 4 4
Cartesian
0.0000 0.0000 0.0000
4.1556 4.1556 0.0000
1.1518 3.0038 2.2287
3.0038 7.1594 2.2287
5.3073 1.1518 2.2287
7.1594 5.3073 2.2287
1.4043 5.5599 0.0000
2.7513 1.4043 0.0000
5.5599 6.9069 0.0000
6.9069 2.7513 0.0000

***

In order of appearance, total DFT energy (no corrections) = -60.46; -17.93; -10.86 eV per formula unit.